Entry 1:
Material: FeBr2
Method: DFT, PBE
State: relaxed

Cell: 4.6857 4.6857 4.6857 Å, 60.00 60.00 60.00°
Sites, in units of the cell vectors:
1 Fe 0.0000 0.0000 0.0000
2 Br 0.2500 0.2500 0.2500
3 Br 0.7500 0.7500 0.7500

Its crystal system is cubic. As for the total magnetic moment: 1.334 μB/atom. For the total DFT energy (no corrections), the calculation gives -0.2865 Ry/atom. For the density of states at the Fermi level, the calculation gives 6.62 states/eV per cell.

---

Entry 2:
Material: Fe5Br4
Method: DFT, PBE
State: relaxed

Cell: 8.1310 8.1310 8.1310 Å, 92.88 92.88 154.10°
Sites, in units of the cell vectors:
1 Fe 0.0000 0.0000 0.0000
2 Fe 0.3920 0.3920 0.7840
3 Fe 0.3920 0.6080 0.0000
4 Fe 0.6080 0.3920 0.0000
5 Fe 0.6080 0.6080 0.2160
6 Br 0.0000 0.2596 0.2596
7 Br 0.0000 0.7404 0.7404
8 Br 0.2596 0.0000 0.2596
9 Br 0.7404 0.0000 0.7404

Its crystal system is tetragonal. As for the total magnetic moment: 1.780 μB/atom. For the total DFT energy (no corrections), the calculation gives -0.3891 Ry/atom. For the density of states at the Fermi level, the calculation gives 7.71 states/eV per cell.

---

Entry 3:
Material: FeBr
Method: DFT, PBE
State: relaxed

Cell: 6.4059 6.4059 6.4059 Å, 143.19 79.64 112.28°
Sites, in units of the cell vectors:
1 Fe 0.0000 0.0000 0.0000
2 Fe 0.2323 0.6113 0.6210
3 Fe 0.9903 0.6113 0.3790
4 Br 0.2147 0.9303 0.2844
5 Br 0.6459 0.9303 0.7156
6 Br 0.7926 0.2926 0.5000

Its crystal system is orthorhombic. As for the total magnetic moment: 1.500 μB/atom. For the total DFT energy (no corrections), the calculation gives -0.3674 Ry/atom. For the density of states at the Fermi level, the calculation gives 2.95 states/eV per cell.

---

Entry 4:
Material: FeBr
Method: DFT, PBE
State: relaxed

Cell: 7.2852 7.2852 3.7153 Å, 90.00 90.00 90.00°
Sites, in units of the cell vectors:
1 Fe 0.1068 0.1068 0.0000
2 Fe 0.3932 0.6068 0.5000
3 Fe 0.6068 0.3932 0.5000
4 Fe 0.8932 0.8932 0.0000
5 Br 0.2246 0.7754 0.0000
6 Br 0.2754 0.2754 0.5000
7 Br 0.7246 0.7246 0.5000
8 Br 0.7754 0.2246 0.0000

Its crystal system is tetragonal. As for the total magnetic moment: 1.512 μB/atom. For the total DFT energy (no corrections), the calculation gives -0.3554 Ry/atom. For the density of states at the Fermi level, the calculation gives 6.24 states/eV per cell.

---

Entry 5:
Material: FeBr
Method: DFT, PBE
State: relaxed

Cell: 6.7184 6.7184 6.7184 Å, 109.47 109.47 109.47°
Sites, in units of the cell vectors:
1 Fe 0.0000 0.0000 0.7811
2 Fe 0.0000 0.7811 0.0000
3 Fe 0.2189 0.2189 0.2189
4 Fe 0.7811 0.0000 0.0000
5 Br 0.0000 0.0000 0.4034
6 Br 0.0000 0.4034 0.0000
7 Br 0.4034 0.0000 0.0000
8 Br 0.5966 0.5966 0.5966

Its crystal system is cubic. As for the total magnetic moment: 1.510 μB/atom. For the total DFT energy (no corrections), the calculation gives -0.3671 Ry/atom. For the density of states at the Fermi level, the calculation gives 9.00 states/eV per cell.

---

Entry 6:
Material: Fe2Br
Method: DFT, PBE
State: relaxed

Cell: 5.9824 5.9824 5.9824 Å, 150.83 149.25 42.90°
Sites, in units of the cell vectors:
1 Fe 0.1930 0.1930 0.0000
2 Fe 0.8070 0.8070 0.0000
3 Br 0.0000 0.5000 0.5000

Its crystal system is orthorhombic. As for the total magnetic moment: 1.985 μB/atom. For the total DFT energy (no corrections), the calculation gives -0.4210 Ry/atom. For the density of states at the Fermi level, the calculation gives 2.73 states/eV per cell.

---

What is the total magnetic moment in the fifth record?
1.510 μB/atom

---

Among the records above, which one has the highest total DFT energy (no corrections)?
FeBr2

---

What is the formula in the fifth record?
FeBr

---

What did the sixth record say?
Material: Fe2Br
Method: DFT, PBE
State: relaxed

Cell: 5.9824 5.9824 5.9824 Å, 150.83 149.25 42.90°
Sites, in units of the cell vectors:
1 Fe 0.1930 0.1930 0.0000
2 Fe 0.8070 0.8070 0.0000
3 Br 0.0000 0.5000 0.5000

Its crystal system is orthorhombic. As for the total magnetic moment: 1.985 μB/atom. For the total DFT energy (no corrections), the calculation gives -0.4210 Ry/atom. For the density of states at the Fermi level, the calculation gives 2.73 states/eV per cell.